Density functional theory data (PBEsol) for crystalline LiAl2Re at its relaxed geometry.

formation energy from the elements: -149 meV per atom
theoretical density: 7.549 g/cm3

Cell: 3.7312 3.7312 7.8087 Å, 90.00 90.00 90.00°
Closest atoms and distances in Å follow each position.
Space group I4/mmm (No. 139)
Symmetry-distinct sites (fractional):
Li1 0.0000 0.0000 0.0000  4 Re 2.64, 8 Al 2.70
Al1 0.0000 0.5000 0.2500  4 Al 2.64, 4 Li 2.70, 4 Re 2.70
Re1 0.0000 0.0000 0.5000  4 Li 2.64, 8 Al 2.70